A geometry-optimized ZrTiB2W structure. Source: the Alexandria database, functional PBE.

## Properties
VASP energy, eV per cell: -36.9
ΔE_f, meV/atom: 1180

Lattice parameters (Å, degrees): 4.1674 4.1674 4.6113 90.00 90.00 90.00
Positions (direct):
Zr 0.0000 0.0000 0.0000
Ti 0.5000 0.5000 0.5000
B 0.0000 0.5000 0.5000
B 0.5000 0.0000 0.5000
W 0.5000 0.5000 0.0000